1.
# PBE-GGA Sm6HIr2Br3, relaxed
data_Sm6HIr2Br3
_chemical_formula_sum 'Sm12 H2 Ir4 Br6'
_cell_length_a 6.985
_cell_length_b 12.087
_cell_length_c 8.069
_cell_angle_alpha 90.00
_cell_angle_beta 106.81
_cell_angle_gamma 90.00
_space_group_name_H-M_alt 'C 1 2/m 1'
_space_group_IT_number 12
loop_
_space_group_symop_operation_xyz
'x,y,z'
'-x,-y,-z'
'-x,y,-z'
'x,-y,z'
'x+1/2,y+1/2,z'
'-x+1/2,-y+1/2,-z'
'-x+1/2,y+1/2,-z'
'x+1/2,-y+1/2,z'
loop_
_atom_site_label
_atom_site_fract_x
_atom_site_fract_y
_atom_site_fract_z
_atom_site_occupancy
Sm1 0.231 0.166 0.195 1
Sm2 0.232 0.500 0.194 1
H1 0.000 0.000 0.000 1
Ir1 0.000 0.333 0.000 1
Br1 0.000 0.168 0.500 1
Br2 0.000 0.500 0.500 1
# E_tot (eV per atom): -5.50



2.
# PBE-GGA K2AgSeBr6, relaxed
data_K2AgSeBr6
_chemical_formula_sum 'K12 Ag6 Se6 Br36'
_cell_length_a 7.5887
_cell_length_b 7.5887
_cell_length_c 40.4039
_cell_angle_alpha 90.00
_cell_angle_beta 90.00
_cell_angle_gamma 120.00
_space_group_name_H-M_alt 'R -3 m'
_space_group_IT_number 166
_space_group_name_Hall '-R 3 2"'
loop_
_atom_site_label
_atom_site_fract_x
_atom_site_fract_y
_atom_site_fract_z
_atom_site_occupancy
K1 0.0000 0.0000 0.1126 1
K2 0.0000 0.0000 0.3072 1
Ag1 0.0000 0.0000 0.4161 1
Se1 0.0000 0.0000 0.0000 1
Se2 0.0000 0.0000 0.5000 1
Br1 0.0044 0.5022 0.8710 1
Br2 0.0052 0.5026 0.2926 1
# Formation energy (no corrections) (eV/atom): -0.7326



3.
# PBE-GGA TbPrMgGa, relaxed
data_TbPrMgGa
_chemical_formula_sum 'Tb4 Pr4 Mg4 Ga4'
_cell_length_a 7.468
_cell_length_b 7.468
_cell_length_c 7.468
_cell_angle_alpha 90.00
_cell_angle_beta 90.00
_cell_angle_gamma 90.00
_space_group_name_H-M_alt 'F -4 3 m'
_space_group_IT_number 216
_space_group_name_Hall 'F -4 2 3'
loop_
_atom_site_label
_atom_site_fract_x
_atom_site_fract_y
_atom_site_fract_z
_atom_site_occupancy
Tb1 0.000 0.000 0.000 1
Pr1 0.000 0.000 0.500 1
Mg1 0.250 0.250 0.750 1
Ga1 0.250 0.250 0.250 1
# Formation enthalpy at 0 K (eV per formula unit): -1.33



4.
# PBE-GGA PmSm6Tm, relaxed
data_PmSm6Tm
_chemical_formula_sum 'Pm2 Sm12 Tm2'
_cell_length_a 8.967
_cell_length_b 9.388
_cell_length_c 6.606
_cell_angle_alpha 90.00
_cell_angle_beta 98.01
_cell_angle_gamma 90.00
_space_group_name_H-M_alt 'C 1 2/m 1'
_space_group_IT_number 12
loop_
_space_group_symop_operation_xyz
'x,y,z'
'-x,-y,-z'
'-x,y,-z'
'x,-y,z'
'x+1/2,y+1/2,z'
'-x+1/2,-y+1/2,-z'
'-x+1/2,y+1/2,-z'
'x+1/2,-y+1/2,z'
loop_
_atom_site_label
_atom_site_fract_x
_atom_site_fract_y
_atom_site_fract_z
_atom_site_occupancy
Pm1 0.000 0.000 0.000 1
Sm1 0.155 0.500 0.192 1
Sm2 0.164 0.319 0.706 1
Tm1 0.000 0.000 0.500 1
# Formation enthalpy at 0 K (eV per formula unit): 1.18



5.
# PBE-GGA AlNi2Te, relaxed
data_AlNi2Te
_chemical_formula_sum 'Al2 Ni4 Te2'
_cell_length_a 5.895
_cell_length_b 5.907
_cell_length_c 3.449
_cell_angle_alpha 90.00
_cell_angle_beta 90.00
_cell_angle_gamma 90.00
_space_group_name_H-M_alt 'C m m m'
_space_group_IT_number 65
_space_group_name_Hall '-C 2 2'
loop_
_atom_site_label
_atom_site_fract_x
_atom_site_fract_y
_atom_site_fract_z
_atom_site_occupancy
Al1 0.000 0.000 0.000 1
Ni1 0.250 0.250 0.500 1
Te1 0.000 0.500 0.000 1
# Formation energy (no corrections) (eV/atom): -0.0239



6.
# PBE-GGA ReTe2Br, relaxed
data_ReTe2Br
_chemical_formula_sum 'Re3 Te6 Br3'
_cell_length_a 3.7031
_cell_length_b 3.7031
_cell_length_c 25.2776
_cell_angle_alpha 90.00
_cell_angle_beta 90.00
_cell_angle_gamma 120.00
_space_group_name_H-M_alt 'R -3 m'
_space_group_IT_number 166
_space_group_name_Hall '-R 3 2"'
loop_
_atom_site_label
_atom_site_fract_x
_atom_site_fract_y
_atom_site_fract_z
_atom_site_occupancy
Re1 0.0000 0.0000 0.0000 1
Te1 0.0000 0.0000 0.2664 1
Br1 0.0000 0.0000 0.5000 1
# Formation energy (no corrections) (eV/atom): 0.1526



7.
# PBE-GGA AcCuIO2, relaxed
data_AcCuIO2
_chemical_formula_sum 'Ac4 Cu4 I4 O8'
_cell_length_a 5.699
_cell_length_b 14.137
_cell_length_c 5.711
_cell_angle_alpha 90.00
_cell_angle_beta 90.00
_cell_angle_gamma 90.00
_space_group_name_H-M_alt 'C m c m'
_space_group_IT_number 63
_space_group_name_Hall '-C 2c 2'
loop_
_atom_site_label
_atom_site_fract_x
_atom_site_fract_y
_atom_site_fract_z
_atom_site_occupancy
Ac1 0.000 0.097 0.250 1
Cu1 0.000 0.488 0.250 1
I1 0.000 0.248 0.750 1
O1 0.239 0.500 0.000 1
# Formation energy (no corrections) (eV/atom): -1.8269



8.
# PBE-GGA TmCo2C, relaxed
data_TmCo2C
_chemical_formula_sum 'Tm4 Co8 C4'
_cell_length_a 3.580
_cell_length_b 15.309
_cell_length_c 3.530
_cell_angle_alpha 90.00
_cell_angle_beta 90.00
_cell_angle_gamma 90.00
_space_group_name_H-M_alt 'C m c m'
_space_group_IT_number 63
_space_group_name_Hall '-C 2c 2'
loop_
_atom_site_label
_atom_site_fract_x
_atom_site_fract_y
_atom_site_fract_z
_atom_site_occupancy
Tm1 0.000 0.105 0.250 1
Co1 0.000 0.250 0.750 1
Co2 0.000 0.450 0.250 1
C1 0.000 0.320 0.250 1
# Formation enthalpy at 0 K (eV per formula unit): -0.62



9.
# PBE-GGA Cs2CdAsAu, relaxed
data_Cs2CdAsAu
_chemical_formula_sum 'Cs2 Cd1 As1 Au1'
_cell_length_a 7.144
_cell_length_b 7.144
_cell_length_c 4.864
_cell_angle_alpha 90.00
_cell_angle_beta 90.00
_cell_angle_gamma 90.00
_space_group_name_H-M_alt 'P 4/m m m'
_space_group_IT_number 123
_space_group_name_Hall '-P 4 2'
loop_
_atom_site_label
_atom_site_fract_x
_atom_site_fract_y
_atom_site_fract_z
_atom_site_occupancy
Cs1 0.000 0.500 0.000 1
Cd1 0.000 0.000 0.500 1
As1 0.500 0.500 0.000 1
Au1 0.500 0.500 0.500 1
# Formation enthalpy at 0 K (eV per formula unit): -0.63



10.
# PBE-GGA Sm2CdI, relaxed
data_Sm2CdI
_chemical_formula_sum 'Sm6 Cd3 I3'
_cell_length_a 3.6690
_cell_length_b 3.6690
_cell_length_c 34.6588
_cell_angle_alpha 90.00
_cell_angle_beta 90.00
_cell_angle_gamma 120.00
_space_group_name_H-M_alt 'R -3 m'
_space_group_IT_number 166
_space_group_name_Hall '-R 3 2"'
loop_
_atom_site_label
_atom_site_fract_x
_atom_site_fract_y
_atom_site_fract_z
_atom_site_occupancy
Sm1 0.0000 0.0000 0.0937 1
Cd1 0.0000 0.0000 0.0000 1
I1 0.0000 0.0000 0.5000 1
# Formation energy (no corrections) (eV/atom): -0.1292



11.
# PBE-GGA Pr12Nd7Dy, relaxed
data_Pr12Nd7Dy
_chemical_formula_sum 'Pr36 Nd21 Dy3'
_cell_length_a 12.4888
_cell_length_b 12.4888
_cell_length_c 16.0477
_cell_angle_alpha 90.00
_cell_angle_beta 90.00
_cell_angle_gamma 120.00
_space_group_name_H-M_alt 'R -3'
_space_group_IT_number 148
_space_group_name_Hall '-R 3'
loop_
_atom_site_label
_atom_site_fract_x
_atom_site_fract_y
_atom_site_fract_z
_atom_site_occupancy
Pr1 0.0234 0.4456 0.2213 1
Pr2 0.0586 0.5907 0.5805 1
Nd1 0.0000 0.0000 0.0000 1
Nd2 0.0573 0.1867 0.2968 1
Dy1 0.0000 0.0000 0.5000 1
# Formation enthalpy at 0 K (eV per formula unit): 4.19



12.
# PBE-GGA CoNi2Cl, relaxed
data_CoNi2Cl
_chemical_formula_sum 'Co1 Ni2 Cl1'
_cell_length_a 2.806
_cell_length_b 3.161
_cell_length_c 6.357
_cell_angle_alpha 90.00
_cell_angle_beta 90.00
_cell_angle_gamma 90.00
_space_group_name_H-M_alt 'P m m m'
_space_group_IT_number 47
loop_
_space_group_symop_operation_xyz
'x,y,z'
'-x,-y,-z'
'-x,-y,z'
'x,y,-z'
'x,-y,-z'
'-x,y,z'
'-x,y,-z'
'x,-y,z'
loop_
_atom_site_label
_atom_site_fract_x
_atom_site_fract_y
_atom_site_fract_z
_atom_site_occupancy
Co1 0.000 0.000 0.000 1
Ni1 0.500 0.500 0.196 1
Cl1 0.000 0.500 0.500 1
# Formation energy (no corrections) (eV/atom): 0.2197



In states/eV/atom, the density of states at the Fermi level values for the records above are, in order, 0.530 0.389 0.694 1.656 0.542 0.597 0.012 0.528 0.466 1.227 2.013 1.485.